(1)
Tc4Pt3 after structural relaxation, computed with PBE.

* polymorph energy (0 for the lowest one): 191 meV per atom
* M_tot: 0.00 μB per atom
* V: 15.6 Å³/atom
* energy of formation from the pure elements: 27.3 kJ/mol of atoms

a = 5.1125 Å, b = 5.1125 Å, c = 4.8290 Å
α = 90.00°, β = 90.00°, γ = 120.00°
Last column: nearest neighbours and their distance in Å.
Space group P6/mmm (No. 191)
Symmetry-distinct sites (fractional):
1 Tc 0.0000 0.0000 0.2289 x2  1 Tc 2.21
2 Tc 0.3333 0.6667 0.0000 x2  6 Pt 2.83, 9 Tc 2.95-3.15
3 Pt 0.0000 0.5000 0.5000 x3  4 Pt 2.56, 4 Tc 2.83

(2)
LaP2Ir after structural relaxation, computed with PBE.

* M_tot: 0.00 μB per atom
* V: 22.4 Å³/atom
* energy of formation from the pure elements: -43.3 kJ/mol of atoms

a = 4.0301 Å, b = 6.8294 Å, c = 6.5123 Å
α = 90.00°, β = 90.00°, γ = 90.00°
Last column: nearest neighbours and their distance in Å.
Space group Cmmm (No. 65)
Symmetry-distinct sites (fractional):
1 La 0.0000 0.0000 0.0000 x2  4 P 2.87
2 P 0.0000 0.5000 0.3136 x4  2 Ir 2.35, 1 P 2.43
3 Ir 0.0000 0.0000 0.5000 x2  4 P 2.35

(3)
LiErScOs after structural relaxation, computed with PBE.

* M_tot: 0.00 μB per atom
* V: 18.8 Å³/atom
* energy of formation from the pure elements: -27.6 kJ/mol of atoms

a = 6.6970 Å, b = 6.6970 Å, c = 6.6970 Å
α = 90.00°, β = 90.00°, γ = 90.00°
Last column: nearest neighbours and their distance in Å.
Space group F-43m (No. 216)
Symmetry-distinct sites (fractional):
1 Li 0.0000 0.0000 0.0000 x4  4 Sc 2.90, 4 Er 2.90
2 Er 0.2500 0.2500 0.2500 x4  4 Li 2.90, 4 Os 2.90
3 Sc 0.2500 0.2500 0.7500 x4  4 Li 2.90, 4 Os 2.90
4 Os 0.0000 0.0000 0.5000 x4  4 Er 2.90, 4 Sc 2.90

(4)
Na2BWSe after structural relaxation, computed with PBE.

* M_tot: 0.35 μB per atom
* V: 33.1 Å³/atom

a = 5.9256 Å, b = 5.9256 Å, c = 4.7092 Å
α = 90.00°, β = 90.00°, γ = 90.00°
Last column: nearest neighbours and their distance in Å.
Space group P4/mmm (No. 123)
Symmetry-distinct sites (fractional):
1 Na 0.0000 0.5000 0.0000 x2  2 W 2.96
2 B 0.0000 0.0000 0.5000 x1  8 Na 3.78, 4 Se 4.19
3 W 0.5000 0.5000 0.0000 x1  2 Se 2.35
4 Se 0.5000 0.5000 0.5000 x1  2 W 2.35

(5)
KMgGa2Sn2 after structural relaxation, computed with PBE.

* M_tot: 0.00 μB per atom
* V: 28.3 Å³/atom
* energy of formation from the pure elements: -14.9 kJ/mol of atoms

a = 4.7774 Å, b = 4.7774 Å, c = 8.6023 Å
α = 90.00°, β = 90.00°, γ = 120.00°
Last column: nearest neighbours and their distance in Å.
Space group P-3m1 (No. 164)
Symmetry-distinct sites (fractional):
1 K 0.0000 0.0000 0.0000 x1  6 Sn 3.66
2 Mg 0.0000 0.0000 0.5000 x1  6 Ga 2.96
3 Ga 0.3333 0.6667 0.3756 x2  4 Sn 2.88-2.96, 3 Mg 2.96
4 Sn 0.3333 0.6667 0.7201 x2  4 Ga 2.88-2.96

(6)
IrSe2NF after structural relaxation, computed with PBE.

* polymorph energy (0 for the lowest one): 0 meV per atom
* M_tot: 0.00 μB per atom
* V: 18.8 Å³/atom

a = 5.0929 Å, b = 5.0929 Å, c = 3.6287 Å
α = 90.00°, β = 90.00°, γ = 90.00°
Last column: nearest neighbours and their distance in Å.
Space group P4/mmm (No. 123)
Symmetry-distinct sites (fractional):
1 Ir 0.0000 0.0000 0.0000 x1  2 N 1.81
2 Se 0.0000 0.5000 0.0000 x2  2 Ir 2.55
3 N 0.0000 0.0000 0.5000 x1  2 Ir 1.81
4 F 0.5000 0.5000 0.5000 x1  8 Se 3.13

(7)
Na2Si2GePd5 after structural relaxation, computed with PBE.

* M_tot: 0.00 μB per atom
* V: 16.6 Å³/atom

a = 10.7971 Å, b = 10.7971 Å, c = 2.8520 Å
α = 90.00°, β = 90.00°, γ = 90.00°
Last column: nearest neighbours and their distance in Å.
Space group P4/mbm (No. 127)
Symmetry-distinct sites (fractional):
1 Na 0.1732 0.3268 0.0000 x4  2 Na 2.85, 1 Si 2.97, 6 Pd 3.00-3.19
2 Si 0.1322 0.6322 0.0000 x4  6 Pd 2.46-2.47
3 Ge 0.0000 0.0000 0.0000 x2  8 Pd 2.64, 2 Ge 2.85
4 Pd 0.0000 0.5000 0.5000 x2  4 Si 2.47
5 Pd 0.0632 0.8043 0.5000 x8  2 Si 2.46, 2 Ge 2.64

(8)
ZnSn2Sb after structural relaxation, computed with PBE.

* polymorph energy (0 for the lowest one): 62 meV per atom
* M_tot: 0.00 μB per atom
* V: 25.3 Å³/atom

a = 4.9336 Å, b = 4.9336 Å, c = 4.1582 Å
α = 90.00°, β = 90.00°, γ = 90.00°
Last column: nearest neighbours and their distance in Å.
Space group P4/mmm (No. 123)
Symmetry-distinct sites (fractional):
1 Zn 0.0000 0.0000 0.0000 x1  8 Sn 3.23, 4 Sb 3.49
2 Sn 0.0000 0.5000 0.5000 x2  4 Sb 3.23, 4 Zn 3.23, 4 Sn 3.49
3 Sb 0.5000 0.5000 0.0000 x1  8 Sn 3.23, 4 Zn 3.49

(9)
Lu2ScPb after structural relaxation, computed with PBE.

* polymorph energy (0 for the lowest one): 42 meV per atom
* M_tot: 0.00 μB per atom
* V: 27.1 Å³/atom
* energy of formation from the pure elements: -17.7 kJ/mol of atoms

a = 3.7870 Å, b = 3.7870 Å, c = 7.5460 Å
α = 90.00°, β = 90.00°, γ = 90.00°
Last column: nearest neighbours and their distance in Å.
Space group P4/mmm (No. 123)
Symmetry-distinct sites (fractional):
1 Lu 0.0000 0.0000 0.2463 x2  4 Sc 3.26, 4 Pb 3.29
2 Sc 0.5000 0.5000 0.0000 x1  8 Lu 3.26
3 Pb 0.5000 0.5000 0.5000 x1  8 Lu 3.29

(10)
Sb2MoSe after structural relaxation, computed with PBE.

* M_tot: 0.50 μB per atom
* V: 21.8 Å³/atom

a = 3.4222 Å, b = 5.0125 Å, c = 5.0830 Å
α = 90.00°, β = 90.00°, γ = 90.00°
Last column: nearest neighbours and their distance in Å.
Space group Pmmm (No. 47)
Symmetry-distinct sites (fractional):
1 Sb 0.0000 0.0000 0.0000 x1  4 Se 3.03, 4 Sb 3.06
2 Sb 0.5000 0.0000 0.5000 x1  4 Mo 3.03, 4 Sb 3.06
3 Mo 0.0000 0.5000 0.5000 x1  4 Sb 3.03, 4 Se 3.06
4 Se 0.5000 0.5000 0.0000 x1  4 Sb 3.03, 4 Mo 3.06

(11)
Pm6HgPd2 after structural relaxation, computed with PBE.

* M_tot: 0.00 μB per atom
* V: 28.7 Å³/atom
* energy of formation from the pure elements: -45.3 kJ/mol of atoms

a = 9.6385 Å, b = 10.0834 Å, c = 10.6341 Å
α = 90.00°, β = 90.00°, γ = 90.00°
Last column: nearest neighbours and their distance in Å.
Space group Immm (No. 71)
Symmetry-distinct sites (fractional):
1 Pm 0.0000 0.1934 0.2388 x8  1 Pd 2.98, 1 Hg 3.20
2 Pm 0.1981 0.5000 0.1723 x8  3 Pd 2.84-3.06
3 Pm 0.2127 0.3199 0.5000 x8  3 Pd 3.07-3.25, 1 Hg 3.31
4 Hg 0.0000 0.0000 0.0000 x2  8 Pm 3.20-3.31, 2 Pd 3.51
5 Hg 0.0000 0.0000 0.5000 x2  8 Pm 3.39-3.44
6 Pd 0.0000 0.3480 0.0000 x4  8 Pm 2.98-3.25, 1 Pd 3.07
7 Pd 0.0000 0.5000 0.3694 x4  1 Pd 2.78, 6 Pm 2.84-3.07

(12)
CeW4Se8 after structural relaxation, computed with PBE.

* M_tot: 0.05 μB per atom
* V: 23.0 Å³/atom

a = 6.9427 Å, b = 6.9427 Å, c = 21.4754 Å
α = 90.00°, β = 90.00°, γ = 120.00°
Last column: nearest neighbours and their distance in Å.
Space group R-3m (No. 166, hexagonal axes)
Symmetry-distinct sites (fractional):
1 Ce 0.0000 0.0000 0.0000 x3  6 Se 2.84
2 W 0.0000 0.0000 0.5000 x3  6 Se 2.54
3 W 0.0000 0.5000 0.5000 x9  6 Se 2.59-2.62
4 Se 0.0000 0.0000 0.2427 x6  3 W 2.59
5 Se 0.0125 0.5062 0.2434 x18  3 W 2.54-2.62, 1 Ce 2.84

no.,raw total energy (eV per cell)
1,-57.6
2,-52.8
3,-100.7
4,-17.5
5,-17.7
6,-23.8
7,-98.1
8,-12.8
9,-19.8
10,-20.3
11,-173.7
12,-269.6